(1)
A geometry-optimized DyCF structure, computed with PBE.

## Properties
Energy relative to the elements, uncorrected = -1.980 eV per atom
Offset from the most stable computed form = 0.00 eV/f.u.
Space group = C2/m (12)

Cell: 4.091 4.091 6.628 Å, 101.39 101.39 53.09°
Element x y z (fractional)
1 Dy 0.184 0.184 0.223
2 Dy 0.816 0.816 0.777
3 C 0.436 0.436 0.059
4 C 0.564 0.564 0.941
5 F 0.182 0.182 0.593
6 F 0.818 0.818 0.407

=====

(2)
A geometry-optimized Dy4HC2F structure, computed with PBE.

## Properties
Space group = P2/m (10)

Cell: 6.144 3.594 6.211 Å, 90.00 109.05 90.00°
Element x y z (fractional)
1 Dy 0.224 0.000 0.239
2 Dy 0.227 0.500 0.740
3 Dy 0.773 0.500 0.260
4 Dy 0.776 0.000 0.761
5 H 0.500 0.000 0.000
6 C 0.000 0.000 0.500
7 C 0.000 0.500 0.000
8 F 0.500 0.500 0.500

=====

(3)
A geometry-optimized Dy4C2NF structure, computed with PBE.

## Properties
Energy relative to the elements, uncorrected = -1.286 eV per atom
Space group = P2/m (10)

Cell: 6.133 3.558 6.183 Å, 90.00 109.10 90.00°
Element x y z (fractional)
1 Dy 0.231 0.000 0.230
2 Dy 0.244 0.500 0.758
3 Dy 0.756 0.500 0.242
4 Dy 0.769 0.000 0.770
5 C 0.000 0.000 0.500
6 C 0.000 0.500 0.000
7 N 0.500 0.000 0.000
8 F 0.500 0.500 0.500

=====

(4)
A geometry-optimized DyCN2F structure, computed with PBE.

## Properties
Energy relative to the elements, uncorrected = -1.673 eV per atom
Space group = P2_1/m (11)

Cell: 5.462 3.509 6.563 Å, 90.00 95.96 90.00°
Element x y z (fractional)
1 Dy 0.138 0.250 0.264
2 Dy 0.862 0.750 0.736
3 C 0.355 0.250 0.835
4 C 0.645 0.750 0.165
5 N 0.139 0.250 0.879
6 N 0.433 0.750 0.208
7 N 0.567 0.250 0.792
8 N 0.861 0.750 0.121
9 F 0.166 0.750 0.509
10 F 0.834 0.250 0.491

=====

(5)
A geometry-optimized PmDyCF structure, computed with PBE.

## Properties
Energy relative to the elements, uncorrected = -1.238 eV per atom
Space group = Amm2 (38)

Cell: 5.147 4.220 4.220 Å, 59.73 90.00 90.00°
Element x y z (fractional)
1 Pm 0.000 0.000 0.000
2 Dy 0.500 0.668 0.668
3 C 0.500 0.001 0.001
4 F 0.000 0.668 0.668

=====

(6)
A geometry-optimized Dy2Fe17C3 structure, computed with PBE.

## Properties
Calculated formation energy = -7.84 kJ/mol of atoms
Space group = P6_3/mmc (194)

Cell: 8.637 8.637 8.329 Å, 90.00 90.00 120.00°
Element x y z (fractional)
1 Dy 0.000 0.000 0.250
2 Dy 0.000 0.000 0.750
3 Dy 0.333 0.667 0.250
4 Dy 0.667 0.333 0.750
5 Fe 0.000 0.500 0.000
6 Fe 0.000 0.500 0.500
7 Fe 0.052 0.379 0.750
8 Fe 0.052 0.673 0.750
9 Fe 0.168 0.336 0.020
10 Fe 0.168 0.336 0.480
11 Fe 0.168 0.832 0.020
12 Fe 0.168 0.832 0.480
13 Fe 0.327 0.379 0.750
14 Fe 0.327 0.948 0.750
15 Fe 0.333 0.667 0.608
16 Fe 0.333 0.667 0.892
17 Fe 0.336 0.168 0.520
18 Fe 0.336 0.168 0.980
19 Fe 0.379 0.052 0.250
20 Fe 0.379 0.327 0.250
21 Fe 0.500 0.000 0.000
22 Fe 0.500 0.000 0.500
23 Fe 0.500 0.500 0.000
24 Fe 0.500 0.500 0.500
25 Fe 0.621 0.673 0.750
26 Fe 0.621 0.948 0.750
27 Fe 0.664 0.832 0.020
28 Fe 0.664 0.832 0.480
29 Fe 0.667 0.333 0.108
30 Fe 0.667 0.333 0.392
31 Fe 0.673 0.052 0.250
32 Fe 0.673 0.621 0.250
33 Fe 0.832 0.168 0.520
34 Fe 0.832 0.168 0.980
35 Fe 0.832 0.664 0.520
36 Fe 0.832 0.664 0.980
37 Fe 0.948 0.327 0.250
38 Fe 0.948 0.621 0.250
39 C 0.166 0.331 0.250
40 C 0.166 0.834 0.250
41 C 0.331 0.166 0.750
42 C 0.669 0.834 0.250
43 C 0.834 0.166 0.750
44 C 0.834 0.669 0.750

=====

(7)
A geometry-optimized Dy2FeC2 structure, computed with PBE.

## Properties
Calculated formation energy = -26.34 kJ/mol of atoms
Offset from the most stable computed form = 0.04 eV/f.u.
Space group = Pnma (62)

Cell: 6.218 5.044 9.711 Å, 90.00 90.00 90.00°
Element x y z (fractional)
1 Dy 0.017 0.250 0.218
2 Dy 0.187 0.250 0.554
3 Dy 0.313 0.750 0.054
4 Dy 0.483 0.750 0.718
5 Dy 0.517 0.250 0.282
6 Dy 0.687 0.250 0.946
7 Dy 0.813 0.750 0.446
8 Dy 0.983 0.750 0.782
9 Fe 0.231 0.250 0.855
10 Fe 0.269 0.750 0.355
11 Fe 0.731 0.250 0.645
12 Fe 0.769 0.750 0.145
13 C 0.032 0.750 0.241
14 C 0.194 0.750 0.538
15 C 0.306 0.250 0.038
16 C 0.468 0.250 0.741
17 C 0.532 0.750 0.259
18 C 0.694 0.750 0.962
19 C 0.806 0.250 0.462
20 C 0.968 0.250 0.759

=====

(8)
A geometry-optimized Dy2Fe2C3 structure, computed with PBE.

## Properties
Calculated formation energy = -26.09 kJ/mol of atoms
Offset from the most stable computed form = 0.00 eV/f.u.
Space group = C2/m (12)

Cell: 5.294 5.294 6.129 Å, 121.91 121.91 37.53°
Element x y z (fractional)
1 Dy 0.069 0.069 0.330
2 Dy 0.931 0.931 0.670
3 Fe 0.297 0.297 0.913
4 Fe 0.703 0.703 0.087
5 C 0.306 0.306 0.248
6 C 0.500 0.500 0.000
7 C 0.694 0.694 0.752

=====

(9)
A geometry-optimized Dy2Fe17C structure, computed with PBE.

## Properties
Calculated formation energy = -3.92 kJ/mol of atoms
Space group = C2/m (12)

Cell: 6.446 6.446 6.410 Å, 96.65 96.65 83.73°
Element x y z (fractional)
1 Dy 0.161 0.161 0.349
2 Dy 0.839 0.839 0.651
3 Fe 0.000 0.500 0.000
4 Fe 0.156 0.650 0.345
5 Fe 0.157 0.157 0.849
6 Fe 0.210 0.500 0.709
7 Fe 0.214 0.786 0.000
8 Fe 0.350 0.844 0.655
9 Fe 0.403 0.403 0.098
10 Fe 0.500 0.000 0.000
11 Fe 0.500 0.210 0.709
12 Fe 0.500 0.500 0.500
13 Fe 0.500 0.790 0.291
14 Fe 0.597 0.597 0.902
15 Fe 0.650 0.156 0.345
16 Fe 0.786 0.214 0.000
17 Fe 0.790 0.500 0.291
18 Fe 0.843 0.843 0.151
19 Fe 0.844 0.350 0.655
20 C 0.000 0.000 0.000

=====

(10)
A geometry-optimized Dy2FeC structure, computed with PBE.

## Properties
Calculated formation energy = 36.75 kJ/mol of atoms
Space group = R-3m (166)

Cell: 8.496 8.496 8.496 Å, 23.54 23.54 23.54°
Element x y z (fractional)
1 Dy 0.112 0.112 0.112
2 Dy 0.888 0.888 0.888
3 Fe 0.000 0.000 0.000
4 C 0.500 0.500 0.500

=====

(11)
A geometry-optimized DyFe2C3 structure, computed with PBE.

## Properties
Calculated formation energy = -4.28 kJ/mol of atoms
Space group = Cmcm (63)

Cell: 5.480 5.480 4.786 Å, 90.00 90.00 106.61°
Element x y z (fractional)
1 Dy 0.210 0.790 0.750
2 Dy 0.790 0.210 0.250
3 Fe 0.310 0.310 0.000
4 Fe 0.310 0.310 0.500
5 Fe 0.690 0.690 0.000
6 Fe 0.690 0.690 0.500
7 C 0.031 0.180 0.750
8 C 0.180 0.031 0.250
9 C 0.414 0.586 0.250
10 C 0.586 0.414 0.750
11 C 0.820 0.969 0.750
12 C 0.969 0.820 0.250

=====

(12)
A geometry-optimized DyFe2C2 structure, computed with PBE.

## Properties
Calculated formation energy = -25.95 kJ/mol of atoms
Space group = Fddd (70)

Cell: 6.166 5.397 5.143 Å, 71.55 56.14 52.31°
Element x y z (fractional)
1 Dy 0.125 0.125 0.125
2 Dy 0.875 0.875 0.875
3 Fe 0.241 0.241 0.509
4 Fe 0.491 0.491 0.759
5 Fe 0.509 0.509 0.241
6 Fe 0.759 0.759 0.491
7 C 0.188 0.562 0.188
8 C 0.438 0.812 0.438
9 C 0.562 0.188 0.562
10 C 0.812 0.438 0.812

=====

no.,uncorrected energy (eV per atom)
1,-7.212
2,-6.273
3,-7.168
4,-8.143
5,-6.350
6,-8.297
7,-7.496
8,-7.956
9,-8.155
10,-6.342
11,-8.244
12,-8.264